No. 1
Cs2KCaPt | the Alexandria database | PBE | optimized geometry; density of states at the Fermi level = 1.1632 states/eV per atom; raw total energy = -2.00 eV per atom
1.0
-7.227 1.988 -2.876
-2.953 -7.007 2.577
-1.216 2.194 4.572
K Cs Pt Ca
1 2 1 1
Direct
0.500 0.500 0.500
0.500 0.000 0.000
0.000 0.500 0.000
0.000 0.000 0.500
0.000 0.000 0.000

---

No. 2
Sm6Zn5Ni | the Alexandria database | PBE | optimized geometry; density of states at the Fermi level = 0.8144 states/eV per atom; raw total energy = -3.68 eV per atom
1.0
5.025 -0.325 0.828
-0.020 6.694 2.745
1.169 0.325 8.752
Sm Zn Ni
6 5 1
Direct
0.838 0.081 0.323
0.500 0.239 0.000
0.162 0.919 0.677
0.162 0.405 0.677
0.500 0.761 0.000
0.838 0.595 0.323
0.000 0.500 0.000
0.678 0.178 0.645
0.668 0.668 0.663
0.322 0.822 0.355
0.332 0.332 0.337
0.000 0.000 0.000

---

No. 3
CePm2Au | the Alexandria database | PBE | optimized geometry; density of states at the Fermi level = 1.5546 states/eV per atom; raw total energy = -4.51 eV per atom; energy above the most stable polymorph in this dataset = 496 meV per atom
1.0
3.516 0.000 0.000
1.758 3.045 0.000
1.758 1.015 11.441
Pm Ce Au
2 1 1
Direct
0.084 0.084 0.749
0.916 0.916 0.251
0.500 0.500 0.500
0.000 0.000 0.000

---

No. 4
Pr4NdOs2 | the Alexandria database | PBE | optimized geometry; density of states at the Fermi level = 1.0356 states/eV per atom; raw total energy = -6.59 eV per atom
1.0
-1.478 -3.153 -5.699
7.754 0.292 -2.173
-1.797 -6.718 4.183
Pr Os Nd
8 4 2
Direct
0.250 0.241 0.322
0.503 0.417 0.760
0.497 0.583 0.240
0.750 0.759 0.678
0.003 0.583 0.240
0.997 0.417 0.760
0.250 0.979 0.623
0.750 0.021 0.377
0.750 0.375 0.408
0.250 0.254 0.981
0.750 0.746 0.019
0.250 0.625 0.592
0.750 0.157 0.030
0.250 0.843 0.970

---

No. 5
La2Tb4PrHo | the Alexandria database | PBE | optimized geometry; density of states at the Fermi level = 1.5158 states/eV per atom; raw total energy = -4.69 eV per atom
1.0
-3.395 0.718 3.832
1.842 -4.145 2.409
8.583 1.677 7.289
La Pr Tb Ho
2 1 4 1
Direct
0.500 0.000 0.500
0.000 0.000 0.000
0.500 0.500 0.000
0.500 0.252 0.748
0.000 0.753 0.747
0.000 0.247 0.253
0.500 0.748 0.252
0.000 0.500 0.500

---

No. 6
La4NdSc | the Alexandria database | PBE | optimized geometry; density of states at the Fermi level = 1.7322 states/eV per atom; raw total energy = -5.03 eV per atom; energy above the most stable polymorph in this dataset = 68 meV per atom
1.0
6.672 0.480 0.000
-2.762 8.714 0.000
0.000 0.000 6.980
La Nd Sc
8 2 2
Direct
0.901 0.189 0.000
0.413 0.156 0.750
0.099 0.811 0.000
0.901 0.189 0.500
0.679 0.506 0.250
0.099 0.811 0.500
0.321 0.494 0.750
0.587 0.844 0.250
0.635 0.834 0.750
0.365 0.166 0.250
0.167 0.498 0.250
0.833 0.502 0.750

---

No. 7
MgAlV2Cu | the Alexandria database | PBE | optimized geometry; density of states at the Fermi level = 1.3155 states/eV per atom; raw total energy = -4.71 eV per atom; energy above the most stable polymorph in this dataset = 0 meV per atom
1.0
4.521 0.000 0.000
0.000 4.521 0.000
0.000 0.000 4.431
V Cu Mg Al
2 1 1 1
Direct
0.000 0.500 0.000
0.500 0.000 0.000
0.000 0.000 0.000
0.500 0.500 0.500
0.000 0.000 0.500

---

No. 8
TiCuAu3 | the Alexandria database | PBE | optimized geometry; density of states at the Fermi level = 1.0714 states/eV per atom; raw total energy = -3.75 eV per atom; energy above the most stable polymorph in this dataset = 709 meV per atom
1.0
4.711 0.000 0.000
0.000 4.711 0.000
0.000 0.000 4.711
Ti Cu Au
1 1 3
Direct
0.500 0.500 0.500
0.000 0.000 0.000
0.000 0.000 0.500
0.500 0.000 0.000
0.000 0.500 0.000

---

No. 9
LaPmNd2 | the Alexandria database | PBE | optimized geometry; density of states at the Fermi level = 2.6098 states/eV per atom; raw total energy = -4.67 eV per atom; energy above the most stable polymorph in this dataset = 119 meV per atom
1.0
5.867 0.000 0.000
2.934 5.081 0.000
2.934 1.694 4.791
Pm La Nd
1 1 2
Direct
0.500 0.500 0.500
0.000 0.000 0.000
0.250 0.250 0.250
0.750 0.750 0.750

---

No. 10
LiCaSn2Au4 | the Alexandria database | PBE | optimized geometry; density of states at the Fermi level = 0.4362 states/eV per atom; raw total energy = -3.61 eV per atom
1.0
-2.440 -4.027 -0.998
2.335 -3.899 -1.582
0.984 -5.185 6.913
Au Ca Sn Li
4 1 2 1
Direct
0.389 0.389 0.832
0.134 0.134 0.599
0.611 0.611 0.168
0.866 0.866 0.401
0.000 0.000 0.000
0.248 0.248 0.255
0.752 0.752 0.745
0.500 0.500 0.500

---

No. 11
SrGaPb2 | the Alexandria database | PBE | optimized geometry; density of states at the Fermi level = 0.8361 states/eV per atom; raw total energy = -2.87 eV per atom
1.0
4.334 0.000 0.000
2.167 3.754 0.000
2.167 1.251 9.784
Pb Ga Sr
2 1 1
Direct
0.118 0.118 0.645
0.882 0.882 0.355
0.500 0.500 0.500
0.000 0.000 0.000

---

No. 12
VSbI3 | the Alexandria database | PBE | optimized geometry; density of states at the Fermi level = 2.4804 states/eV per atom; raw total energy = -2.96 eV per atom; energy above the most stable polymorph in this dataset = 393 meV per atom; formation energy from raw total energies = 620 meV/atom
1.0
6.038 0.000 0.000
0.000 6.038 0.000
0.000 0.000 6.038
I V Sb
3 1 1
Direct
0.000 0.000 0.500
0.500 0.000 0.000
0.000 0.500 0.000
0.500 0.500 0.500
0.000 0.000 0.000

---

Repeat the tenth record exactly.
LiCaSn2Au4 | the Alexandria database | PBE | optimized geometry; density of states at the Fermi level = 0.4362 states/eV per atom; raw total energy = -3.61 eV per atom
1.0
-2.440 -4.027 -0.998
2.335 -3.899 -1.582
0.984 -5.185 6.913
Au Ca Sn Li
4 1 2 1
Direct
0.389 0.389 0.832
0.134 0.134 0.599
0.611 0.611 0.168
0.866 0.866 0.401
0.000 0.000 0.000
0.248 0.248 0.255
0.752 0.752 0.745
0.500 0.500 0.500